## DyAgBi2 (GGA-PBE)

Data for crystalline DyAgBi2 at its relaxed geometry.

Values from the calculation:
Theoretical density ... 10769 kg/m³
Final energy ... -4.17 eV/atom
DOS at the Fermi energy ... 2.16 states/eV/cell
ΔH_f (0 K) ... -0.365 eV/atom

Lattice parameters (Å, degrees): 4.951 4.951 4.331 90.00 90.00 90.00
Space group P4/mmm (No. 123)
Symmetry-distinct sites (fractional):
Dy 0.000 0.000 0.000
Ag 0.500 0.500 0.000
Bi 0.000 0.500 0.500

---

## EuDyAgBi (GGA-PBE)

Data for crystalline EuDyAgBi at its relaxed geometry.

Values from the calculation:
Theoretical density ... 9342 kg/m³
Final energy ... -5.88 eV/atom
DOS at the Fermi energy ... 12.00 states/eV/cell
ΔH_f (0 K) ... -0.483 eV/atom

Lattice parameters (Å, degrees): 7.657 7.657 7.657 90.00 90.00 90.00
Space group F-43m (No. 216)
Symmetry-distinct sites (fractional):
Eu 0.000 0.000 0.000
Dy 0.000 0.000 0.500
Ag 0.250 0.250 0.250
Bi 0.250 0.250 0.750

---

## DyAgHgBi (GGA-PBE)

Data for crystalline DyAgHgBi at its relaxed geometry.

Values from the calculation:
Theoretical density ... 11161 kg/m³
Final energy ... -3.15 eV/atom
DOS at the Fermi energy ... 17.23 states/eV/cell
ΔH_f (0 K) ... -0.245 eV/atom

Lattice parameters (Å, degrees): 7.396 7.396 7.396 90.00 90.00 90.00
Space group F-43m (No. 216)
Symmetry-distinct sites (fractional):
Dy 0.000 0.000 0.000
Ag 0.000 0.000 0.500
Hg 0.250 0.250 0.750
Bi 0.250 0.250 0.250

---

## DyHoAgBi (GGA-PBE)

Data for crystalline DyHoAgBi at its relaxed geometry.

Values from the calculation:
Theoretical density ... 10202 kg/m³
Final energy ... -4.38 eV/atom
DOS at the Fermi energy ... 16.42 states/eV/cell
ΔH_f (0 K) ... -0.401 eV/atom

Lattice parameters (Å, degrees): 7.486 7.486 7.486 90.00 90.00 90.00
Space group F-43m (No. 216)
Symmetry-distinct sites (fractional):
Dy 0.000 0.000 0.000
Ho 0.000 0.000 0.500
Ag 0.250 0.250 0.750
Bi 0.250 0.250 0.250

---

The lowest final energy belongs to which entry? EuDyAgBi

---

Which formula does entry 3 have? DyAgHgBi

---

Look up the theoretical density of the first one. 10769 kg/m³